First-principles (PBE) data for crystalline MgSe at its relaxed geometry, as listed in Alexandria.

a b c (Å): 6.6539 6.6539 3.6668
angles (deg): 90.00 90.00 120.00
Closest atoms and distances in Å follow each position.
Atoms (fractional coordinates):
Mg (0.0000, 0.3764, 0.0000)  5 Se 2.50-2.78
Mg (0.6236, 0.6236, 0.0000)  5 Se 2.50-2.78
Mg (0.3764, 0.0000, 0.0000)  5 Se 2.50-2.78
Se (0.0000, 0.0000, 0.0000)  3 Mg 2.50
Se (0.6667, 0.3333, 0.5000)  6 Mg 2.78
Se (0.3333, 0.6667, 0.5000)  6 Mg 2.78

Summary:
The electronic total energy comes out at -21.55 eV/cell. The value obtained for the formation energy without anion corrections is -1.052 eV per atom. For the density of states at the Fermi level, the calculation gives 0.11 states/eV per atom. The value obtained for the total moment is 0.0 μB/cell.